Record 1
Below is a crystal of Cd2FeRh relaxed with PBEsol, with properties calculated at the meta-GGA SCAN level.

Output
Calculated volume, Å³/cell: 62.8
Symmetry: No. 216

a b c (Å): 4.461 4.461 4.461
angles (deg): 60.00 60.00 60.00
Each line ends with the local moment (μB).
Positions (direct):
Cd (0.000, 0.000, 0.000)  -0.03
Cd (0.750, 0.750, 0.750)  -0.04
Fe (0.500, 0.500, 0.500)  3.15
Rh (0.250, 0.250, 0.250)  0.43

Record 2
Below is a crystal of CdFeSi2Rh relaxed with PBEsol, with properties calculated at the meta-GGA SCAN level.

Output
Calculated volume, Å³/cell: 100.5
Symmetry: No. 123
E_form (uncorrected), kJ per mole of atoms: 57.5

a b c (Å): 4.445 4.445 5.089
angles (deg): 90.00 90.00 90.00
Each line ends with the local moment (μB).
Positions (direct):
Si (0.000, 0.500, 0.000)  -0.02
Si (0.500, 0.000, 0.000)  -0.02
Rh (0.000, 0.000, 0.000)  -0.08
Fe (0.500, 0.500, 0.500)  3.17
Cd (0.000, 0.000, 0.500)  -0.01

Record 3
Below is a crystal of TaCdFe2Rh relaxed with PBEsol, with properties calculated at the meta-GGA SCAN level.

Output
Calculated volume, Å³/cell: 95.5
Symmetry: No. 123

a b c (Å): 4.320 4.320 5.120
angles (deg): 90.00 90.00 90.00
Each line ends with the local moment (μB).
Positions (direct):
Cd (0.000, 0.000, 0.500)  -0.04
Rh (0.500, 0.500, 0.500)  0.12
Fe (0.000, 0.500, 0.000)  2.18
Fe (0.500, 0.000, 0.000)  2.18
Ta (0.000, 0.000, 0.000)  -0.73

Record 4
Below is a crystal of CdFe2Ru relaxed with PBEsol, with properties calculated at the meta-GGA SCAN level.

Output
Calculated volume, Å³/cell: 55.0
Symmetry: No. 139

a b c (Å): 3.898 3.898 4.550
angles (deg): 115.36 115.36 90.00
Each line ends with the local moment (μB).
Positions (direct):
Cd (0.000, 0.000, 0.000)  -0.08
Fe (0.750, 0.250, 0.500)  3.08
Fe (0.250, 0.750, 0.500)  3.08
Ru (0.500, 0.500, 0.000)  1.07

Record 5
Below is a crystal of CdFeRu2 relaxed with PBEsol, with properties calculated at the meta-GGA SCAN level.

Output
Calculated volume, Å³/cell: 57.3
Symmetry: No. 10

a b c (Å): 2.706 4.092 5.325
angles (deg): 90.00 103.54 90.00
Each line ends with the local moment (μB).
Positions (direct):
Cd (0.500, 0.500, 0.000)  -0.03
Fe (0.500, 0.500, 0.500)  3.04
Ru (0.881, 0.000, 0.721)  0.74
Ru (0.119, 0.000, 0.279)  0.74

Record 6
Below is a crystal of Cd2FeRu relaxed with PBEsol, with properties calculated at the meta-GGA SCAN level.

Output
Calculated volume, Å³/cell: 62.7
Symmetry: No. 71

a b c (Å): 3.367 4.257 5.146
angles (deg): 114.43 109.09 90.00
Each line ends with the local moment (μB).
Positions (direct):
Cd (0.757, 0.757, 0.515)  -0.05
Cd (0.243, 0.243, 0.485)  -0.05
Fe (0.500, 0.000, 0.000)  3.14
Ru (0.000, 0.500, 0.000)  0.84

Record 7
Below is a crystal of CdFeRu2 relaxed with PBEsol, with properties calculated at the meta-GGA SCAN level.

Output
Calculated volume, Å³/cell: 55.4
Symmetry: No. 123

a b c (Å): 2.711 2.711 7.542
angles (deg): 90.00 90.00 90.00
Each line ends with the local moment (μB).
Positions (direct):
Cd (0.500, 0.500, 0.000)  -0.02
Fe (0.500, 0.500, 0.500)  2.48
Ru (0.000, 0.000, 0.713)  0.02
Ru (0.000, 0.000, 0.287)  0.02

Record 8
Below is a crystal of CdFeSn2Ru relaxed with PBEsol, with properties calculated at the meta-GGA SCAN level.

Output
Calculated volume, Å³/cell: 102.4
Symmetry: No. 123

a b c (Å): 4.404 4.823 4.823
angles (deg): 90.00 90.00 90.00
Positions (direct):
Fe (0.000, 0.000, 0.000)
Ru (0.500, 0.000, 0.000)
Sn (0.000, 0.000, 0.500)
Sn (0.000, 0.500, 0.000)
Cd (0.500, 0.500, 0.500)

Record 9
Below is a crystal of Sr2CdFeS relaxed with PBEsol, with properties calculated at the meta-GGA SCAN level.

Output
Calculated volume, Å³/cell: 138.4
Symmetry: No. 123
E_form (uncorrected), kJ per mole of atoms: -4.3

a b c (Å): 4.741 5.402 5.402
angles (deg): 90.00 90.00 90.00
Each line ends with the local moment (μB).
Positions (direct):
Sr (0.000, 0.000, 0.500)  -0.05
Sr (0.000, 0.500, 0.000)  -0.05
S (0.500, 0.500, 0.500)  -0.04
Fe (0.000, 0.000, 0.000)  2.16
Cd (0.500, 0.000, 0.000)  -0.04

Record 10
Below is a crystal of CdFeSb2 relaxed with PBEsol, with properties calculated at the meta-GGA SCAN level.

Output
Calculated volume, Å³/cell: 82.8
Symmetry: No. 123
E_form (uncorrected), kJ per mole of atoms: 45.1

a b c (Å): 3.759 4.693 4.693
angles (deg): 90.00 90.00 90.00
Each line ends with the local moment (μB).
Positions (direct):
Cd (0.500, 0.500, 0.500)  -0.01
Fe (0.500, 0.000, 0.000)  2.99
Sb (0.000, 0.000, 0.500)  -0.02
Sb (0.000, 0.500, 0.000)  -0.02

Record 11
Below is a crystal of CdFeSb2 relaxed with PBEsol, with properties calculated at the meta-GGA SCAN level.

Output
Calculated volume, Å³/cell: 88.1
Symmetry: No. 8
E_form (uncorrected), kJ per mole of atoms: 18.3

a b c (Å): 3.079 5.158 6.259
angles (deg): 110.78 90.00 107.36
Each line ends with the local moment (μB).
Positions (direct):
Cd (0.567, 0.134, 0.631)  -0.03
Fe (0.299, 0.597, 0.623)  2.10
Sb (0.908, 0.816, 0.972)  -0.05
Sb (0.726, 0.453, 0.274)  -0.05

Record 12
Below is a crystal of Cd3FeSb relaxed with PBEsol, with properties calculated at the meta-GGA SCAN level.

Output
Calculated volume, Å³/cell: 162.7
Symmetry: No. 221
E_form (uncorrected), kJ per mole of atoms: 104.8

a b c (Å): 5.459 5.459 5.459
angles (deg): 90.00 90.00 90.00
Each line ends with the local moment (μB).
Positions (direct):
Sb (0.000, 0.000, 0.000)  0.00
Fe (0.500, 0.500, 0.500)  3.48
Cd (0.000, 0.500, 0.000)  0.00
Cd (0.000, 0.000, 0.500)  0.00
Cd (0.500, 0.000, 0.000)  0.00

Record 13
Below is a crystal of Sc2CdFe relaxed with PBEsol, with properties calculated at the meta-GGA SCAN level.

Output
Calculated volume, Å³/cell: 71.0
Symmetry: No. 123

a b c (Å): 3.126 3.126 7.267
angles (deg): 90.00 90.00 90.00
Each line ends with the local moment (μB).
Positions (direct):
Sc (0.000, 0.000, 0.702)  -0.12
Sc (0.000, 0.000, 0.298)  -0.12
Fe (0.500, 0.500, 0.500)  0.58
Cd (0.500, 0.500, 0.000)  0.00

Record 14
Below is a crystal of ScCdFe relaxed with PBEsol, with properties calculated at the meta-GGA SCAN level.

Output
Calculated volume, Å³/cell: 63.1
Symmetry: No. 216

a b c (Å): 4.469 4.469 4.469
angles (deg): 60.00 60.00 60.00
Each line ends with the local moment (μB).
Positions (direct):
Cd (0.000, 0.000, 0.000)  -0.08
Fe (0.500, 0.500, 0.500)  2.71
Sc (0.250, 0.250, 0.250)  -0.51

Record 15
Below is a crystal of Cd2FeSe relaxed with PBEsol, with properties calculated at the meta-GGA SCAN level.

Output
Calculated volume, Å³/cell: 74.1
Symmetry: No. 10
E_form (uncorrected), kJ per mole of atoms: 29.1

a b c (Å): 3.033 4.550 5.373
angles (deg): 90.00 90.00 91.39
Each line ends with the local moment (μB).
Positions (direct):
Cd (0.251, 0.246, 0.000)  -0.02
Cd (0.749, 0.754, 0.000)  -0.02
Fe (0.000, 0.000, 0.500)  2.97
Se (0.500, 0.500, 0.500)  -0.05

Taking the records one at a time from the top gives final energy values of -28.1069, -19.8731, -31.6832, -25.1228, -29.2223, -28.1481, -29.2622, -30.2683, -20.5886, -30.2984, -30.5769, -28.2404, -19.5107, -20.1617, -24.4575 eV per atom.